[1]
This record from OQMD via LeMat-Bulk describes crystalline SrAs2Ir2O7 at its relaxed geometry. The functional is PBE.

Output
E in eV/f.u.: -74.2

```
SrAs2Ir2O7
1.0
2.5807 1.4900 9.1061
-2.5807 1.4900 9.1061
0.0000 -2.9799 9.1061
O Ir Sr As
7 2 1 2
Cartesian
-1.0288 -1.6694 12.1194
1.9602 0.0563 15.1990
1.9602 -0.0563 12.1194
0.0000 0.0000 0.0000
-0.9313 -1.7257 15.1990
-0.9313 1.7257 12.1194
-1.0288 1.6694 15.1990
0.0000 0.0000 1.8065
0.0000 0.0000 25.5119
0.0000 0.0000 13.6592
0.0000 0.0000 7.0213
0.0000 0.0000 20.2971
```

---

[2]
This record from OQMD via LeMat-Bulk describes crystalline GdMgNO at its relaxed geometry. The functional is PBE.

Output
E in eV/f.u.: -27.7
Energy above the lowest structure with this stoichiometry in meV per atom: 0

```
GdMgNO
1.0
-0.7861 5.8128 0.2485
-4.4177 -0.8647 6.2514
4.1004 0.4281 2.9569
Gd N O Mg
4 4 4 4
Cartesian
0.7812 5.6144 2.7038
-1.9636 2.0938 7.0198
-0.9570 3.0926 1.1267
-3.7017 -0.4279 5.4427
-1.1497 5.3661 1.2895
-3.9088 1.8427 5.6258
-1.5592 -0.1575 7.0096
1.2000 3.3659 2.6733
-1.6427 2.0084 2.9837
0.6397 0.5057 4.3887
-2.8546 4.7545 4.2666
-0.5722 3.2518 5.6717
-1.7667 0.1071 2.4803
-1.3437 5.0596 5.5292
-3.1207 2.8253 3.9644
0.0103 2.3413 4.0451
```

---

[3]
This record from OQMD via LeMat-Bulk describes crystalline PrPtNO at its relaxed geometry. The functional is PBE.

Output
E in eV/f.u.: -28.7
Energy above the lowest structure with this stoichiometry in meV per atom: 114

```
PrPtNO
1.0
3.6680 0.0000 0.0000
0.0000 5.8335 0.0000
0.0000 0.0004 5.9683
Pr N O Pt
2 2 2 2
Cartesian
0.0000 0.2311 5.0577
0.0000 3.1475 0.9108
0.0000 5.6031 2.4194
0.0000 2.6858 3.5488
1.8340 1.6949 0.0916
1.8340 4.6121 5.8769
1.8340 2.7034 3.4610
1.8340 5.6210 2.5067
```

---

[4]
This record from OQMD via LeMat-Bulk describes crystalline CdGa2Os at its relaxed geometry. The functional is PBE.

Output
E in eV/f.u.: -16.1

```
CdGa2Os
1.0
0.0000 3.2273 3.2273
3.2273 0.0000 3.2273
3.2273 3.2273 0.0000
Cd Ga Os
1 2 1
Cartesian
3.2273 3.2273 3.2273
1.6137 1.6137 1.6137
0.0000 0.0000 0.0000
4.8410 4.8410 4.8410
```

---

[5]
This record from OQMD via LeMat-Bulk describes crystalline NaHfGe at its relaxed geometry. The functional is PBE.

Output
E in eV/f.u.: -15.4

```
NaHfGe
1.0
0.0000 3.2405 3.2405
3.2405 0.0000 3.2405
3.2405 3.2405 0.0000
Hf Ge Na
1 1 1
Cartesian
1.6202 1.6202 1.6202
0.0000 0.0000 0.0000
4.8607 4.8607 4.8607
```

---

[6]
This record from OQMD via LeMat-Bulk describes crystalline LuTlPt at its relaxed geometry. The functional is PBE.

Output
E in eV/f.u.: -13.4

```
LuTlPt
1.0
0.0000 3.3215 3.3215
3.3215 0.0000 3.3215
3.3215 3.3215 0.0000
Lu Tl Pt
1 1 1
Cartesian
1.6607 1.6607 1.6607
0.0000 0.0000 0.0000
4.9822 4.9822 4.9822
```

---

[7]
This record from OQMD via LeMat-Bulk describes crystalline TaGeAsO at its relaxed geometry. The functional is PBE.

Output
E in eV/f.u.: -29.7
Energy above the lowest structure with this stoichiometry in meV per atom: 0

```
TaGeAsO
1.0
3.3646 0.0000 0.0000
0.0000 6.1145 0.0000
0.0000 0.0000 7.3916
Ge Ta O As
2 2 2 2
Cartesian
0.0000 1.8517 0.5797
0.0000 4.2628 4.2755
1.6823 5.8901 0.0251
1.6823 0.2245 3.7209
1.6823 0.5561 5.6003
1.6823 5.5584 1.9045
0.0000 2.1270 3.0639
0.0000 3.9876 6.7597
```

---

[8]
This record from OQMD via LeMat-Bulk describes crystalline Co2H at its relaxed geometry. The functional is PBE.

Output
E in eV/f.u.: -14.3

```
Co2H
1.0
2.5047 1.4461 4.0902
-2.5047 1.4461 4.0902
0.0000 -2.8922 4.0902
Co H
4 2
Cartesian
0.0000 -1.4461 6.6465
0.0000 0.0000 4.6014
1.2523 0.7230 6.6465
-1.2523 0.7230 6.6465
0.0000 0.0000 3.0676
0.0000 0.0000 6.1352
```

---

[9]
This record from OQMD via LeMat-Bulk describes crystalline Zr3Be at its relaxed geometry. The functional is PBE.

Output
E in eV/f.u.: -29.1
Energy above the lowest structure with this stoichiometry in meV per atom: 43

```
Zr3Be
1.0
-0.7215 4.8741 -3.5639
-3.5350 -4.8863 -0.7789
-3.2394 1.8383 3.1698
Be Zr
2 6
Cartesian
-4.2168 -0.7136 -0.1224
0.0000 0.0000 0.0000
-2.4128 1.6939 0.3251
-2.7894 4.2383 -1.5354
-3.8385 -2.4133 -2.5233
-1.8040 -2.4074 -0.4475
-2.1489 -0.0778 -2.1510
-4.6348 1.6875 -1.9419
```

---

[10]
This record from OQMD via LeMat-Bulk describes crystalline PrCd2 at its relaxed geometry. The functional is PBE.

Output
E in eV/f.u.: -7.5
ΔE_f in eV per atom: -0.3196

```
PrCd2
1.0
1.6381 0.4359 5.7353
-0.3615 5.2607 2.8216
-4.1370 0.8433 4.2356
Cd Pr
4 2
Cartesian
-1.7878 4.0874 7.9953
-1.6070 1.4571 6.5845
0.2807 3.6658 5.8775
-2.6068 3.8695 5.1277
-0.7151 1.6350 3.1981
0.0000 0.0000 0.0000
```

---

Question: What is the E in the ninth record?
Answer: -29.1 eV/f.u.